Entry from Alexandria via LeMat-Bulk: MnNb2O6 after structural relaxation (PBE with a Hubbard U).

Output
Space group   C2/m
Total energy   -8.7567 eV/atom

a = 3.815 Å, b = 5.376 Å, c = 6.872 Å
α = 67.74°, β = 73.88°, γ = 69.22°
Each line ends with the local moment (μB).
Element x y z (fractional)
O: 0.981 0.832 0.206  0.00
O: 0.654 0.294 0.398  0.01
O: 0.303 0.327 0.067  0.01
O: 0.697 0.673 0.933  0.01
Nb: 0.182 0.778 0.858  0.06
O: 0.346 0.706 0.602  0.01
Mn: 0.000 0.500 0.500  4.65
O: 0.019 0.168 0.794  0.00
Nb: 0.818 0.222 0.142  0.06